No. 1
This record from Alexandria via LeMat-Bulk describes a geometry-optimized VCoB structure. The functional is PBE.

It has space group I4mm (No. 107), with a = 2.511 Å, b = 2.511 Å, c = 9.035 Å, α = 90.00°, β = 90.00° and γ = 90.00°. The inequivalent atoms are V at (0.000, 0.000, 0.000), Co at (0.000, 0.000, 0.714) and B at (0.000, 0.000, 0.331).

For the mass density, the calculation gives 7.033 Mg/m³. The value obtained for the calculated volume is 57 Å³ per cell. The calculation puts the energy relative to the elements at -0.290 eV/atom. The total energy comes out at -7.924 eV/atom. The magnetization comes out at 0.00 μB/f.u.

No. 2
This record from Alexandria via LeMat-Bulk describes a geometry-optimized GaTeAu4 structure. The functional is PBE.

It has space group F-43m (No. 216), with a = 7.975 Å, b = 7.975 Å, c = 7.975 Å, α = 90.00°, β = 90.00° and γ = 90.00°. The inequivalent atoms are Ga at (0.000, 0.000, 0.000), Te at (0.250, 0.250, 0.750) and Au at (0.125, 0.125, 0.375).

For the mass density, the calculation gives 12.900 Mg/m³. The value obtained for the calculated volume is 507 Å³ per cell. For the formation energy from raw total energies, the calculation gives 0.06 eV/atom. The total energy comes out at -3.158 eV/atom. The magnetization comes out at 0.00 μB/f.u.

No. 3
This record from Alexandria via LeMat-Bulk describes a geometry-optimized AlCd2Co structure. The functional is PBE.

It has space group R-3m (No. 166, hexagonal axes), with a = 2.9918 Å, b = 2.9918 Å, c = 27.4568 Å, α = 90.00°, β = 90.00° and γ = 120.00°. The inequivalent atoms are Al at (0.0000, 0.0000, 0.0000), Cd at (0.0000, 0.0000, 0.2445) and Co at (0.0000, 0.0000, 0.5000).

For the mass density, the calculation gives 7.273 Mg/m³. The value obtained for the calculated volume is 213 Å³ per cell. The calculation puts the energy relative to the elements at 0.280 eV/atom. The total energy comes out at -2.890 eV/atom. The magnetization comes out at 1.54 μB/f.u.

No. 4
This record from Alexandria via LeMat-Bulk describes a geometry-optimized Tb2Pr3Pb4 structure. The functional is PBE.

It has space group C2/m (No. 12), with a = 16.680 Å, b = 5.161 Å, c = 6.955 Å, α = 90.00°, β = 105.03° and γ = 90.00°. The inequivalent atoms are Tb at (0.166, 0.000, 0.079), Pr at (0.000, 0.500, 0.000), Pr at (0.119, 0.500, 0.578), Pb at (0.006, 0.000, 0.284) and Pb at (0.245, 0.500, 0.279).

For the mass density, the calculation gives 9.013 Mg/m³. The value obtained for the calculated volume is 578 Å³ per cell. The calculation puts the energy relative to the elements at -0.481 eV/atom. The total energy comes out at -4.751 eV/atom. The magnetization comes out at 0.00 μB/f.u.

No. 5
This record from Alexandria via LeMat-Bulk describes a geometry-optimized CaPrSmGd structure. The functional is PBE.

It has space group F-43m (No. 216), with a = 8.276 Å, b = 8.276 Å, c = 8.276 Å, α = 90.00°, β = 90.00° and γ = 90.00°. The inequivalent atoms are Ca at (0.000, 0.000, 0.000), Pr at (0.250, 0.250, 0.750), Sm at (0.250, 0.250, 0.250) and Gd at (0.000, 0.000, 0.500).

For the mass density, the calculation gives 5.725 Mg/m³. The value obtained for the calculated volume is 567 Å³ per cell. The calculation puts the energy relative to the elements at 0.120 eV/atom. The total energy comes out at -6.275 eV/atom. The magnetization comes out at 7.87 μB/f.u.

No. 6
This record from Alexandria via LeMat-Bulk describes a geometry-optimized NaNb2Ge2 structure. The functional is PBE.

It has space group P4/mbm (No. 127), with a = 8.120 Å, b = 8.120 Å, c = 2.877 Å, α = 90.00°, β = 90.00° and γ = 90.00°. The inequivalent atoms are Na at (0.000, 0.000, 0.000), Nb at (0.118, 0.382, 0.000) and Ge at (0.175, 0.675, 0.500).

For the mass density, the calculation gives 6.200 Mg/m³. The value obtained for the calculated volume is 190 Å³ per cell. The calculation puts the energy relative to the elements at -0.077 eV/atom. The total energy comes out at -6.215 eV/atom. The magnetization comes out at 0.00 μB/f.u.

No. 7
This record from Alexandria via LeMat-Bulk describes a geometry-optimized LiLa3Cl structure. The functional is PBE.

It has space group Pm-3m (No. 221), with a = 5.541 Å, b = 5.541 Å, c = 5.541 Å, α = 90.00°, β = 90.00° and γ = 90.00°. The inequivalent atoms are Li at (0.000, 0.000, 0.000), La at (0.000, 0.500, 0.500) and Cl at (0.500, 0.500, 0.500).

For the mass density, the calculation gives 4.482 Mg/m³. The value obtained for the calculated volume is 170 Å³ per cell. For the formation energy from raw total energies, the calculation gives -0.43 eV/atom. The total energy comes out at -4.137 eV/atom. The magnetization comes out at 0.00 μB/f.u.

No. 8
This record from Alexandria via LeMat-Bulk describes a geometry-optimized LaTb2PmIn structure. The functional is PBE.

It has space group Cmcm (No. 63), with a = 6.608 Å, b = 15.287 Å, c = 6.635 Å, α = 90.00°, β = 90.00° and γ = 90.00°. The inequivalent atoms are La at (0.000, 0.248, 0.250), Tb at (0.243, 0.000, 0.000), Pm at (0.000, 0.343, 0.750) and In at (0.000, 0.147, 0.750).

For the mass density, the calculation gives 7.101 Mg/m³. The value obtained for the calculated volume is 670 Å³ per cell. The calculation puts the energy relative to the elements at 0.034 eV/atom. The total energy comes out at -4.301 eV/atom. The magnetization comes out at 0.00 μB/f.u.

No. 9
This record from Alexandria via LeMat-Bulk describes a geometry-optimized MnSnRh2 structure. The functional is PBE.

It has space group P4/mmm (No. 123), with a = 4.277 Å, b = 4.277 Å, c = 3.432 Å, α = 90.00°, β = 90.00° and γ = 90.00°. The inequivalent atoms are Mn at (0.000, 0.000, 0.000), Sn at (0.500, 0.500, 0.000) and Rh at (0.000, 0.500, 0.500).

For the mass density, the calculation gives 10.036 Mg/m³. The value obtained for the calculated volume is 63 Å³ per cell. The calculation puts the energy relative to the elements at -0.381 eV/atom. The total energy comes out at -7.350 eV/atom. The magnetization comes out at 4.75 μB/f.u.

No. 10
This record from Alexandria via LeMat-Bulk describes a geometry-optimized LiHo2Ni4Ge3 structure. The functional is PBE.

It has space group P-4m2 (No. 115), with a = 4.018 Å, b = 4.018 Å, c = 9.793 Å, α = 90.00°, β = 90.00° and γ = 90.00°. The inequivalent atoms are Li at (0.000, 0.000, 0.000), Ho at (0.000, 0.500, 0.748), Ni at (0.000, 0.000, 0.500), Ni at (0.000, 0.500, 0.131), Ni at (0.500, 0.500, 0.500), Ge at (0.000, 0.500, 0.368) and Ge at (0.500, 0.500, 0.000).

For the mass density, the calculation gives 8.291 Mg/m³. The value obtained for the calculated volume is 158 Å³ per cell. The calculation puts the energy relative to the elements at -0.610 eV/atom. The total energy comes out at -5.415 eV/atom. The magnetization comes out at 0.00 μB/f.u.

No. 11
This record from Alexandria via LeMat-Bulk describes a geometry-optimized Ag3HgCl6 structure. The functional is PBE.

It has space group P2_1/c (No. 14), with a = 7.325 Å, b = 7.475 Å, c = 11.642 Å, α = 90.00°, β = 116.58° and γ = 90.00°. The inequivalent atoms are Ag at (0.000, 0.000, 0.000), Ag at (0.180, 0.023, 0.691), Hg at (0.500, 0.000, 0.500), Cl at (0.130, 0.194, 0.492), Cl at (0.178, 0.630, 0.378) and Cl at (0.449, 0.103, 0.297).

For the mass density, the calculation gives 4.292 Mg/m³. The value obtained for the calculated volume is 570 Å³ per cell. For the formation energy from raw total energies, the calculation gives -0.44 eV/atom. The total energy comes out at -2.433 eV/atom. The magnetization comes out at 0.46 μB/f.u.

No. 12
This record from Alexandria via LeMat-Bulk describes a geometry-optimized UCr2Re structure. The functional is PBE.

It has space group P4/mmm (No. 123), with a = 2.916 Å, b = 2.916 Å, c = 7.180 Å, α = 90.00°, β = 90.00° and γ = 90.00°. The inequivalent atoms are U at (0.000, 0.000, 0.000), Cr at (0.500, 0.500, 0.291) and Re at (0.000, 0.000, 0.500).

For the mass density, the calculation gives 14.369 Mg/m³. The value obtained for the calculated volume is 61 Å³ per cell. The calculation puts the energy relative to the elements at 0.162 eV/atom. The total energy comes out at -10.584 eV/atom. The magnetization comes out at 0.95 μB/f.u.

No. 13
This record from Alexandria via LeMat-Bulk describes a geometry-optimized NdGa3Hg3 structure. The functional is PBE.

It has space group Pm-3n (No. 223), with a = 7.350 Å, b = 7.350 Å, c = 7.350 Å, α = 90.00°, β = 90.00° and γ = 90.00°. The inequivalent atoms are Nd at (0.000, 0.000, 0.000), Ga at (0.000, 0.250, 0.500) and Hg at (0.000, 0.500, 0.250).

For the mass density, the calculation gives 7.988 Mg/m³. The value obtained for the calculated volume is 397 Å³ per cell. The calculation puts the energy relative to the elements at 0.190 eV/atom. The total energy comes out at -1.917 eV/atom. The magnetization comes out at 0.00 μB/f.u.

No. 14
This record from Alexandria via LeMat-Bulk describes a geometry-optimized K2MgZrTe4 structure. The functional is PBE.

It has space group P2/m (No. 10), with a = 7.579 Å, b = 4.312 Å, c = 8.542 Å, α = 90.00°, β = 107.25° and γ = 90.00°. The inequivalent atoms are K at (0.000, 0.000, 0.000), K at (0.500, 0.500, 0.000), Mg at (0.000, 0.500, 0.500), Zr at (0.500, 0.000, 0.500), Te at (0.237, 0.000, 0.694) and Te at (0.275, 0.500, 0.299).

For the mass density, the calculation gives 4.385 Mg/m³. The value obtained for the calculated volume is 267 Å³ per cell. For the formation energy from raw total energies, the calculation gives -0.96 eV/atom. The total energy comes out at -4.074 eV/atom. The magnetization comes out at 0.00 μB/f.u.

No. 15
This record from Alexandria via LeMat-Bulk describes a geometry-optimized Cs2TiTlS4 structure. The functional is PBE.

It has space group Fddd (No. 70, origin choice 2), with a = 6.651 Å, b = 14.348 Å, c = 24.653 Å, α = 90.00°, β = 90.00° and γ = 90.00°. The inequivalent atoms are Cs at (0.125, 0.125, 0.304), Ti at (0.125, 0.125, 0.625), Tl at (0.125, 0.125, 0.125) and S at (0.080, 0.282, 0.823).

For the mass density, the calculation gives 3.649 Mg/m³. The value obtained for the calculated volume is 2353 Å³ per cell. For the formation energy from raw total energies, the calculation gives -1.00 eV/atom. The total energy comes out at -4.562 eV/atom. The magnetization comes out at 0.00 μB/f.u.

No. 16
This record from Alexandria via LeMat-Bulk describes a geometry-optimized LiOsRu2Pt structure. The functional is PBE.

It has space group P4/mmm (No. 123), with a = 4.083 Å, b = 4.083 Å, c = 4.075 Å, α = 90.00°, β = 90.00° and γ = 90.00°. The inequivalent atoms are Li at (0.000, 0.000, 0.000), Os at (0.500, 0.500, 0.500), Ru at (0.000, 0.500, 0.000) and Pt at (0.000, 0.000, 0.500).

For the mass density, the calculation gives 14.531 Mg/m³. The value obtained for the calculated volume is 68 Å³ per cell. The calculation puts the energy relative to the elements at 0.995 eV/atom. The total energy comes out at -6.553 eV/atom. The magnetization comes out at 0.00 μB/f.u.

No. 17
This record from Alexandria via LeMat-Bulk describes a geometry-optimized ScBeRe2 structure. The functional is PBE.

It has space group Cm (No. 8), with a = 9.244 Å, b = 3.151 Å, c = 4.480 Å, α = 90.00°, β = 112.81° and γ = 90.00°. The inequivalent atoms are Sc at (0.000, 0.000, 0.000), Be at (0.230, 0.000, 0.712), Re at (0.000, 0.500, 0.512) and Re at (0.268, 0.500, 0.271).

For the mass density, the calculation gives 11.773 Mg/m³. The value obtained for the calculated volume is 120 Å³ per cell. The calculation puts the energy relative to the elements at 0.128 eV/atom. The total energy comes out at -8.610 eV/atom. The magnetization comes out at 0.00 μB/f.u.

No. 18
This record from Alexandria via LeMat-Bulk describes a geometry-optimized NbVPt14 structure. The functional is PBE.

It has space group P4/mmm (No. 123), with a = 5.623 Å, b = 5.623 Å, c = 7.875 Å, α = 90.00°, β = 90.00° and γ = 90.00°. The inequivalent atoms are Nb at (0.000, 0.000, 0.000), V at (0.500, 0.500, 0.000), Pt at (0.000, 0.000, 0.500), Pt at (0.000, 0.500, 0.000), Pt at (0.000, 0.500, 0.500), Pt at (0.252, 0.252, 0.241) and Pt at (0.500, 0.500, 0.500).

For the mass density, the calculation gives 19.171 Mg/m³. The value obtained for the calculated volume is 249 Å³ per cell. The calculation puts the energy relative to the elements at -0.330 eV/atom. The total energy comes out at -6.815 eV/atom. The magnetization comes out at 0.21 μB/f.u.

No. 19
This record from Alexandria via LeMat-Bulk describes a geometry-optimized MnNi2As structure. The functional is PBE.

It has space group P4/mmm (No. 123), with a = 3.155 Å, b = 3.155 Å, c = 5.144 Å, α = 90.00°, β = 90.00° and γ = 90.00°. The inequivalent atoms are Mn at (0.000, 0.000, 0.000), Ni at (0.500, 0.500, 0.248) and As at (0.000, 0.000, 0.500).

For the mass density, the calculation gives 8.018 Mg/m³. The value obtained for the calculated volume is 51 Å³ per cell. The calculation puts the energy relative to the elements at -0.099 eV/atom. The total energy comes out at -6.445 eV/atom. The magnetization comes out at 3.92 μB/f.u.

No. 20
This record from Alexandria via LeMat-Bulk describes a geometry-optimized Ac7In2Co2 structure. The functional is PBE.

It has space group Cmmm (No. 65), with a = 8.508 Å, b = 12.218 Å, c = 7.536 Å, α = 90.00°, β = 90.00° and γ = 90.00°. The inequivalent atoms are Ac at (0.000, 0.000, 0.000), Ac at (0.000, 0.500, 0.240), Ac at (0.250, 0.250, 0.246), In at (0.166, 0.000, 0.500) and Co at (0.000, 0.298, 0.000).

For the mass density, the calculation gives 8.211 Mg/m³. The value obtained for the calculated volume is 783 Å³ per cell. The calculation puts the energy relative to the elements at -0.106 eV/atom. The total energy comes out at -4.511 eV/atom. The magnetization comes out at 0.00 μB/f.u.